VASP calculation (SCAN) on a PBEsol-optimized structure of MgTc2Sb.

a = 6.3599 Å, b = 6.3599 Å, c = 6.3599 Å
α = 90.00°, β = 90.00°, γ = 90.00°
Closest atoms and distances in Å follow each position.
Space group F-43m (No. 216)
Symmetry-distinct sites (fractional):
Mg 0.0000 0.0000 0.0000  4 Tc 2.75, 4 Sb 2.75
Tc 0.0000 0.0000 0.5000  4 Sb 2.75, 4 Tc 2.75
Tc 0.2500 0.2500 0.7500  4 Tc 2.75, 4 Mg 2.75
Sb 0.2500 0.2500 0.2500  4 Mg 2.75, 4 Tc 2.75

Fermi-level density of states: 11.21 states/eV/cell
magnetization: 1.69 μB/f.u.
formation energy without anion corrections: 239 meV per atom
uncorrected energy: -27.850 eV per atom
calculated volume: 64.3 Å³/f.u.
polymorph energy (0 for the lowest one): 103 meV/atom

VASP calculation (SCAN) on a PBEsol-optimized structure of ZrMo3.

a = 8.9672 Å, b = 8.9672 Å, c = 2.8222 Å
α = 90.00°, β = 90.00°, γ = 120.00°
Closest atoms and distances in Å follow each position.
Space group R-3m (No. 166, hexagonal axes)
Symmetry-distinct sites (fractional):
Zr 0.0000 0.0000 0.0000  6 Mo 2.75, 2 Zr 2.82
Mo 0.0000 0.5000 0.0000  6 Mo 2.75-2.82, 2 Zr 2.75

formation enthalpy at 0 K: 0.0532 eV per atom
Fermi-level density of states: 8.10 states/eV/cell
magnetization: 0.00 μB/f.u.
uncorrected energy: -33.785 eV per atom
calculated volume: 65.5 Å³/f.u.

VASP calculation (SCAN) on a PBEsol-optimized structure of Mg2PW.

a = 3.2223 Å, b = 4.1259 Å, c = 9.3924 Å
α = 90.00°, β = 90.00°, γ = 90.00°
Closest atoms and distances in Å follow each position.
Space group Immm (No. 71)
Symmetry-distinct sites (fractional):
Mg 0.0000 0.0000 0.2273  4 Mg 2.65, 2 P 2.67, 2 W 2.97
P 0.0000 0.5000 0.5000  4 W 2.62, 4 Mg 2.67
W 0.0000 0.5000 0.0000  4 P 2.62

formation enthalpy at 0 K: 0.3093 eV per atom
Fermi-level density of states: 3.82 states/eV/cell
magnetization: 0.00 μB/f.u.
uncorrected energy: -22.199 eV per atom
calculated volume: 62.4 Å³/f.u.

VASP calculation (SCAN) on a PBEsol-optimized structure of Li3InBr.

a = 4.8298 Å, b = 4.8298 Å, c = 4.8298 Å
α = 90.00°, β = 90.00°, γ = 90.00°
Closest atoms and distances in Å follow each position.
Space group Pm-3m (No. 221)
Symmetry-distinct sites (fractional):
Li 0.0000 0.0000 0.5000  2 Br 2.41
In 0.5000 0.5000 0.5000  12 Li 3.42
Br 0.0000 0.0000 0.0000  6 Li 2.41

Fermi-level density of states: 1.91 states/eV/cell
magnetization: 0.00 μB/f.u.
formation energy without anion corrections: -543 meV per atom
uncorrected energy: -12.546 eV per atom
calculated volume: 112.7 Å³/f.u.

VASP calculation (SCAN) on a PBEsol-optimized structure of MgSc2Os.

a = 3.2243 Å, b = 3.2243 Å, c = 7.6048 Å
α = 90.00°, β = 90.00°, γ = 90.00°
Closest atoms and distances in Å follow each position.
Space group P4/mmm (No. 123)
Symmetry-distinct sites (fractional):
Mg 0.0000 0.0000 0.0000  4 Mg 3.22, 8 Sc 3.23
Sc 0.5000 0.5000 0.3004  4 Os 2.74, 1 Sc 3.04
Os 0.0000 0.0000 0.5000  8 Sc 2.74

formation enthalpy at 0 K: -0.4499 eV per atom
Fermi-level density of states: 1.53 states/eV/cell
magnetization: 0.06 μB/f.u.
uncorrected energy: -26.782 eV per atom
calculated volume: 79.1 Å³/f.u.

VASP calculation (SCAN) on a PBEsol-optimized structure of TlIn2Os.

a = 3.1493 Å, b = 3.1493 Å, c = 8.6837 Å
α = 90.00°, β = 90.00°, γ = 90.00°
Closest atoms and distances in Å follow each position.
Space group P4/mmm (No. 123)
Symmetry-distinct sites (fractional):
Tl 0.0000 0.0000 0.0000  4 Tl 3.15, 8 In 3.49
In 0.5000 0.5000 0.3088  4 Os 2.78
Os 0.0000 0.0000 0.5000  8 In 2.78

formation enthalpy at 0 K: 0.3575 eV per atom
Fermi-level density of states: 2.72 states/eV/cell
magnetization: 0.00 μB/f.u.
uncorrected energy: -52.395 eV per atom
calculated volume: 86.1 Å³/f.u.
polymorph energy (0 for the lowest one): 0 meV/atom

VASP calculation (SCAN) on a PBEsol-optimized structure of Ba6Zn7F26.

a = 19.2868 Å, b = 5.9085 Å, c = 12.2887 Å
α = 90.00°, β = 128.33°, γ = 90.00°
Closest atoms and distances in Å follow each position.
Space group C2/m (No. 12)
Symmetry-distinct sites (fractional):
Ba 0.1412 0.0000 0.4031  8 F 2.60-2.85
Ba 0.1461 0.5000 0.1537  8 F 2.61-2.87
Ba 0.1587 0.0000 0.9002  7 F 2.66-2.94
Zn 0.0000 0.0000 0.0000  6 F 1.99-2.04
Zn 0.0000 0.2432 0.5000  6 F 2.02-2.04
Zn 0.0178 0.5000 0.7823  6 F 1.95-2.13
Zn 0.2228 0.5000 0.7103  5 F 2.00-2.02
F 0.0140 0.2308 0.6782  2 Zn 2.01-2.04
F 0.0245 0.2496 0.9133  2 Zn 2.04-2.13
F 0.0894 0.5000 0.5777  3 Zn 2.02-2.04
F 0.0929 0.0000 0.5766  2 Zn 2.02
F 0.1102 0.5000 0.3267  1 Zn 1.95
F 0.1273 0.0000 0.1636  1 Zn 1.99
F 0.1470 0.5000 0.9212  1 Zn 1.96
F 0.2434 0.2612 0.6175  1 Zn 2.00
F 0.2462 0.2694 0.8499  1 Zn 2.01

Fermi-level density of states: 0.00 states/eV/cell
magnetization: 0.00 μB/f.u.
formation energy without anion corrections: -3272 meV per atom
uncorrected energy: -14.142 eV per atom
calculated volume: 549.2 Å³/f.u.

VASP calculation (SCAN) on a PBEsol-optimized structure of ScGeBi3.

a = 5.3980 Å, b = 5.3980 Å, c = 5.3980 Å
α = 90.00°, β = 90.00°, γ = 90.00°
Closest atoms and distances in Å follow each position.
Space group Pm-3m (No. 221)
Symmetry-distinct sites (fractional):
Sc 0.0000 0.0000 0.0000  12 Bi 3.82
Ge 0.5000 0.5000 0.5000  6 Bi 2.70
Bi 0.0000 0.5000 0.5000  2 Ge 2.70

formation enthalpy at 0 K: 0.5504 eV per atom
Fermi-level density of states: 4.80 states/eV/cell
magnetization: 0.00 μB/f.u.
uncorrected energy: -53.262 eV per atom
calculated volume: 157.3 Å³/f.u.
polymorph energy (0 for the lowest one): 29 meV/atom

VASP calculation (SCAN) on a PBEsol-optimized structure of NiSeS2.

a = 3.5674 Å, b = 3.5674 Å, c = 21.2718 Å
α = 90.00°, β = 90.00°, γ = 120.00°
Closest atoms and distances in Å follow each position.
Space group R-3m (No. 166, hexagonal axes)
Symmetry-distinct sites (fractional):
Ni 0.0000 0.0000 0.0000  2 S 2.03
Se 0.0000 0.0000 0.5000  6 S 2.55
S 0.0000 0.0000 0.0956  1 Ni 2.03

Fermi-level density of states: 8.71 states/eV/cell
magnetization: 0.10 μB/f.u.
formation energy without anion corrections: 471 meV per atom
uncorrected energy: -13.406 eV per atom
calculated volume: 78.1 Å³/f.u.

VASP calculation (SCAN) on a PBEsol-optimized structure of SiSeN2O.

a = 3.8187 Å, b = 3.8187 Å, c = 3.8466 Å
α = 90.00°, β = 90.00°, γ = 90.00°
Closest atoms and distances in Å follow each position.
Space group P4/mmm (No. 123)
Symmetry-distinct sites (fractional):
Si 0.0000 0.0000 0.0000  4 Se 2.70, 8 N 2.71
Se 0.5000 0.5000 0.0000  2 O 1.92
N 0.0000 0.5000 0.5000  2 O 1.91
O 0.5000 0.5000 0.5000  4 N 1.91, 2 Se 1.92

Fermi-level density of states: 1.63 states/eV/cell
magnetization: 1.72 μB/f.u.
formation energy without anion corrections: 2108 meV per atom
uncorrected energy: -8.873 eV per atom
calculated volume: 56.1 Å³/f.u.

VASP calculation (SCAN) on a PBEsol-optimized structure of SbPtSe2.

a = 3.1586 Å, b = 4.8490 Å, c = 4.9942 Å
α = 90.00°, β = 90.00°, γ = 90.00°
Closest atoms and distances in Å follow each position.
Space group Pmmm (No. 47)
Symmetry-distinct sites (fractional):
Sb 0.0000 0.0000 0.0000  4 Se 2.89, 4 Pt 2.95, 2 Sb 3.16
Pt 0.5000 0.0000 0.5000  4 Se 2.89, 4 Sb 2.95, 2 Pt 3.16
Se 0.0000 0.5000 0.5000  4 Pt 2.89, 6 Se 2.95-3.16
Se 0.5000 0.5000 0.0000  4 Sb 2.89, 6 Se 2.95-3.16

Fermi-level density of states: 1.80 states/eV/cell
magnetization: 0.00 μB/f.u.
formation energy without anion corrections: 442 meV per atom
uncorrected energy: -36.461 eV per atom
calculated volume: 76.5 Å³/f.u.

VASP calculation (SCAN) on a PBEsol-optimized structure of MnFeCo.

a = 2.4264 Å, b = 3.4445 Å, c = 7.3343 Å
α = 90.00°, β = 90.00°, γ = 90.00°
Closest atoms and distances in Å follow each position.
Space group Imm2 (No. 44)
Symmetry-distinct sites (fractional):
Mn 0.0000 0.0000 0.0000  2 Mn 2.43, 5 Co 2.43-2.45, 5 Fe 2.44
Fe 0.0000 0.0000 0.3332  2 Fe 2.43, 5 Mn 2.44, 5 Co 2.44
Co 0.0000 0.0000 0.6657  2 Co 2.43, 5 Mn 2.43-2.45, 5 Fe 2.44

formation enthalpy at 0 K: 0.1038 eV per atom
Fermi-level density of states: 6.57 states/eV/cell
magnetization: 1.19 μB/f.u.
uncorrected energy: -17.793 eV per atom
calculated volume: 30.6 Å³/f.u.

VASP calculation (SCAN) on a PBEsol-optimized structure of YTlAu2.

a = 3.5989 Å, b = 3.5984 Å, c = 6.7192 Å
α = 90.00°, β = 90.13°, γ = 90.00°
Closest atoms and distances in Å follow each position.
Space group P2/m (No. 10)
Symmetry-distinct sites (fractional):
Y 0.0000 0.0000 0.0000  8 Au 2.99
Tl 0.0000 0.0000 0.5000  8 Au 3.11-3.12, 2 Y 3.36
Au 0.4990 0.5000 0.7663  4 Y 2.99, 4 Tl 3.11-3.12, 1 Au 3.14

formation enthalpy at 0 K: -0.6796 eV per atom
Fermi-level density of states: 1.75 states/eV/cell
magnetization: 0.00 μB/f.u.
uncorrected energy: -60.308 eV per atom
calculated volume: 87.0 Å³/f.u.

VASP calculation (SCAN) on a PBEsol-optimized structure of Ga2Ag2Bi.

a = 3.9428 Å, b = 3.9428 Å, c = 12.7914 Å
α = 90.00°, β = 90.00°, γ = 90.00°
Closest atoms and distances in Å follow each position.
Space group I4/mmm (No. 139)
Symmetry-distinct sites (fractional):
Ga 0.0000 0.5000 0.2500  4 Ag 2.68, 4 Ga 2.79
Ag 0.0000 0.0000 0.1082  4 Ga 2.68, 1 Ag 2.77
Bi 0.0000 0.0000 0.5000  8 Ag 3.11

formation enthalpy at 0 K: 0.1118 eV per atom
Fermi-level density of states: 3.69 states/eV/cell
magnetization: 0.00 μB/f.u.
uncorrected energy: -34.690 eV per atom
calculated volume: 99.4 Å³/f.u.
polymorph energy (0 for the lowest one): 0 meV/atom

VASP calculation (SCAN) on a PBEsol-optimized structure of AlInAg2.

a = 3.2008 Å, b = 4.0112 Å, c = 5.5866 Å
α = 90.00°, β = 90.00°, γ = 90.00°
Closest atoms and distances in Å follow each position.
Space group Pmm2 (No. 25)
Symmetry-distinct sites (fractional):
Al 0.0000 0.0000 0.0000  6 Ag 2.67-2.92
In 0.5000 0.5000 0.2816  6 Ag 2.77-2.90, 4 Al 3.01
Ag 0.0000 0.0000 0.5223  2 Al 2.67-2.92, 4 In 2.90, 4 Ag 2.96
Ag 0.5000 0.5000 0.7852  2 In 2.77-2.81, 4 Al 2.83, 4 Ag 2.96

formation enthalpy at 0 K: -0.0113 eV per atom
Fermi-level density of states: 1.04 states/eV/cell
magnetization: 0.00 μB/f.u.
uncorrected energy: -25.979 eV per atom
calculated volume: 71.7 Å³/f.u.

VASP calculation (SCAN) on a PBEsol-optimized structure of FeTcNi2.

a = 5.6996 Å, b = 5.6996 Å, c = 5.6996 Å
α = 90.00°, β = 90.00°, γ = 90.00°
Closest atoms and distances in Å follow each position.
Space group Fm-3m (No. 225)
Symmetry-distinct sites (fractional):
Fe 0.0000 0.0000 0.0000  8 Ni 2.47
Tc 0.0000 0.0000 0.5000  8 Ni 2.47
Ni 0.2500 0.2500 0.2500  4 Fe 2.47, 4 Tc 2.47

formation enthalpy at 0 K: 0.2232 eV per atom
Fermi-level density of states: 20.38 states/eV/cell
magnetization: 1.98 μB/f.u.
uncorrected energy: -21.161 eV per atom
calculated volume: 46.3 Å³/f.u.
polymorph energy (0 for the lowest one): 232 meV/atom

VASP calculation (SCAN) on a PBEsol-optimized structure of MgGeOF2.

a = 4.2546 Å, b = 4.2546 Å, c = 3.8949 Å
α = 90.00°, β = 90.00°, γ = 90.00°
Closest atoms and distances in Å follow each position.
Space group P4/mmm (No. 123)
Symmetry-distinct sites (fractional):
Mg 0.0000 0.0000 0.0000  8 F 2.88, 4 O 3.01
Ge 0.5000 0.5000 0.5000  2 O 1.95, 4 F 2.13
O 0.5000 0.5000 0.0000  2 Ge 1.95
F 0.0000 0.5000 0.5000  2 Ge 2.13

Fermi-level density of states: 1.29 states/eV/cell
magnetization: 0.00 μB/f.u.
formation energy without anion corrections: -1460 meV per atom
uncorrected energy: -8.934 eV per atom
calculated volume: 70.5 Å³/f.u.
polymorph energy (0 for the lowest one): 760 meV/atom

VASP calculation (SCAN) on a PBEsol-optimized structure of LaNb3Cl.

a = 4.9195 Å, b = 4.9195 Å, c = 4.9195 Å
α = 90.00°, β = 90.00°, γ = 90.00°
Closest atoms and distances in Å follow each position.
Space group Pm-3m (No. 221)
Symmetry-distinct sites (fractional):
La 0.0000 0.0000 0.0000  6 Nb 2.46
Nb 0.0000 0.0000 0.5000  2 La 2.46
Cl 0.5000 0.5000 0.5000  12 Nb 3.48

Fermi-level density of states: 4.61 states/eV/cell
magnetization: 0.00 μB/f.u.
formation energy without anion corrections: 2044 meV per atom
uncorrected energy: -28.050 eV per atom
calculated volume: 119.1 Å³/f.u.

VASP calculation (SCAN) on a PBEsol-optimized structure of TlHg2Au.

a = 3.3718 Å, b = 5.2098 Å, c = 10.3221 Å
α = 90.00°, β = 90.00°, γ = 90.00°
Closest atoms and distances in Å follow each position.
Space group Immm (No. 71)
Symmetry-distinct sites (fractional):
Tl 0.0000 0.0000 0.0000  4 Au 3.10, 4 Hg 3.28, 2 Tl 3.37
Hg 0.0000 0.5000 0.2269  2 Au 2.89, 4 Hg 3.14
Au 0.0000 0.0000 0.5000  4 Hg 2.89, 4 Tl 3.10

formation enthalpy at 0 K: 0.0499 eV per atom
Fermi-level density of states: 2.53 states/eV/cell
magnetization: 0.00 μB/f.u.
uncorrected energy: -69.412 eV per atom
calculated volume: 90.7 Å³/f.u.
polymorph energy (0 for the lowest one): 38 meV/atom

VASP calculation (SCAN) on a PBEsol-optimized structure of Li2HgPd2.

a = 7.0837 Å, b = 7.0837 Å, c = 3.0014 Å
α = 90.00°, β = 90.00°, γ = 90.00°
Closest atoms and distances in Å follow each position.
Space group P4/mbm (No. 127)
Symmetry-distinct sites (fractional):
Li 0.1627 0.3373 0.0000  6 Pd 2.53-2.59
Hg 0.0000 0.0000 0.5000  4 Pd 2.76, 2 Hg 3.00, 8 Li 3.05
Pd 0.1345 0.6345 0.5000  6 Li 2.53-2.59, 1 Pd 2.70, 2 Hg 2.76

formation enthalpy at 0 K: -0.3521 eV per atom
Fermi-level density of states: 2.63 states/eV/cell
magnetization: 0.00 μB/f.u.
uncorrected energy: -28.051 eV per atom
calculated volume: 75.3 Å³/f.u.